# Zr2AlNi

A PBEsol-optimized structure of Zr2AlNi (meta-GGA SCAN, Alexandria).

a = 3.002 Å, b = 3.002 Å, c = 7.640 Å
α = 90.00°, β = 90.00°, γ = 90.00°
Element x y z (fractional)
Zr 0.000 0.000 0.227
Zr 0.000 0.000 0.773
Al 0.500 0.500 0.500
Ni 0.500 0.500 0.000

Properties
- electronic total energy (eV/atom) = -21.73
- magnetic moment (μB/f.u.) = 0.00
- V (Å³/f.u.) = 69
- theoretical density (Mg/m³) = 6.467
- formation energy (eV/f.u.) = -1.59



# ZrAl2Ni

A PBEsol-optimized structure of ZrAl2Ni (meta-GGA SCAN, Alexandria).

a = 4.430 Å, b = 4.430 Å, c = 4.430 Å
α = 60.00°, β = 60.00°, γ = 60.00°
Element x y z (fractional)
Zr 0.000 0.000 0.000
Al 0.500 0.500 0.500
Al 0.750 0.750 0.750
Ni 0.250 0.250 0.250

Properties
- electronic total energy (eV/atom) = -15.97
- magnetic moment (μB/f.u.) = 0.00
- V (Å³/f.u.) = 61
- theoretical density (Mg/m³) = 5.507
- formation energy (eV/f.u.) = -1.50



# Zr2Al8Ni

A PBEsol-optimized structure of Zr2Al8Ni (meta-GGA SCAN, Alexandria).

a = 4.090 Å, b = 4.090 Å, c = 10.712 Å
α = 90.00°, β = 90.00°, γ = 90.00°
Element x y z (fractional)
Zr 0.000 0.000 0.186
Zr 0.000 0.000 0.814
Al 0.000 0.500 0.000
Al 0.000 0.500 0.378
Al 0.000 0.500 0.622
Al 0.500 0.000 0.000
Al 0.500 0.000 0.378
Al 0.500 0.000 0.622
Al 0.500 0.500 0.193
Al 0.500 0.500 0.807
Ni 0.000 0.000 0.500

Properties
- electronic total energy (eV/atom) = -13.20
- magnetic moment (μB/f.u.) = 0.02
- V (Å³/f.u.) = 179
- theoretical density (Mg/m³) = 4.234
- formation energy (eV/f.u.) = -5.61



# ZrAl2Ni

A PBEsol-optimized structure of ZrAl2Ni (meta-GGA SCAN, Alexandria).

a = 4.892 Å, b = 3.937 Å, c = 6.465 Å
α = 90.00°, β = 90.00°, γ = 90.00°
Element x y z (fractional)
Zr 0.250 0.000 0.197
Zr 0.750 0.000 0.803
Al 0.000 0.500 0.500
Al 0.250 0.500 0.871
Al 0.500 0.500 0.500
Al 0.750 0.500 0.129
Ni 0.250 0.000 0.630
Ni 0.750 0.000 0.370

Properties
- electronic total energy (eV/atom) = -16.23
- magnetic moment (μB/f.u.) = 0.13
- V (Å³/f.u.) = 62
- theoretical density (Mg/m³) = 5.438
- formation energy (eV/f.u.) = -2.53



# Zr2AlNi

A PBEsol-optimized structure of Zr2AlNi (meta-GGA SCAN, Alexandria).

a = 8.506 Å, b = 8.506 Å, c = 8.506 Å
α = 21.60°, β = 21.60°, γ = 21.60°
Element x y z (fractional)
Zr 0.000 0.000 0.000
Zr 0.234 0.234 0.234
Al 0.473 0.473 0.473
Ni 0.742 0.742 0.742

Properties
- electronic total energy (eV/atom) = -21.42
- magnetic moment (μB/f.u.) = 0.00
- V (Å³/f.u.) = 73
- theoretical density (Mg/m³) = 6.092
- formation energy (eV/f.u.) = -0.36



# ZrAl2Ni

A PBEsol-optimized structure of ZrAl2Ni (meta-GGA SCAN, Alexandria).

a = 8.410 Å, b = 8.410 Å, c = 8.410 Å
α = 36.03°, β = 36.03°, γ = 36.03°
Element x y z (fractional)
Zr 0.000 0.000 0.000
Zr 0.143 0.143 0.143
Zr 0.857 0.857 0.857
Al 0.080 0.583 0.583
Al 0.417 0.417 0.920
Al 0.417 0.920 0.417
Al 0.583 0.080 0.583
Al 0.583 0.583 0.080
Al 0.920 0.417 0.417
Ni 0.335 0.335 0.335
Ni 0.500 0.500 0.500
Ni 0.665 0.665 0.665

Properties
- electronic total energy (eV/atom) = -16.26
- magnetic moment (μB/f.u.) = 0.43
- V (Å³/f.u.) = 61
- theoretical density (Mg/m³) = 5.518
- formation energy (eV/f.u.) = -2.67